[1]
Material: BePPdO
Method: DFT, GGA-PBE
State: relaxed

The density comes out at 5.27 g/cm3. The value obtained for the energy above the most stable polymorph in this dataset is 0.014 eV/f.u. Its crystal system is orthorhombic.

abc: 2.8292 6.7829 5.3282
angles: 90.00 90.00 90.00
With the nearest neighbours (Å) after each atom.
Atoms (fractional coordinates):
Be 0.0000 0.1843 0.0000  2 O 1.53
Be 0.0000 0.8157 0.5000  2 O 1.53
P 0.0000 0.4838 0.5145  1 Be 2.25, 2 Pd 2.26
P 0.0000 0.5162 0.0145  1 Be 2.25, 2 Pd 2.26
Pd 0.5000 0.2248 0.5045  1 O 2.20, 2 P 2.26
Pd 0.5000 0.7752 0.0045  1 O 2.20, 2 P 2.26
O 0.5000 0.1001 0.0040  2 Be 1.53
O 0.5000 0.8999 0.5040  2 Be 1.53

***

[2]
Material: BePPdO
Method: DFT, GGA-PBE
State: relaxed

The density comes out at 5.35 g/cm3. The value obtained for the energy above the most stable polymorph in this dataset is 0.000 eV/f.u. Its crystal system is orthorhombic.

abc: 2.9597 7.1701 4.7533
angles: 90.00 90.00 90.00
With the nearest neighbours (Å) after each atom.
Atoms (fractional coordinates):
Be 0.0000 0.0722 0.0000  2 O 1.50
Be 0.0000 0.9278 0.5000  2 O 1.50
P 0.5000 0.3057 0.8479  3 Pd 2.25-2.50, 2 Be 2.35
P 0.5000 0.6943 0.3479  3 Pd 2.25-2.50, 2 Be 2.35
Pd 0.5000 0.3810 0.3623  3 P 2.25-2.50
Pd 0.5000 0.6190 0.8623  3 P 2.25-2.50
O 0.0000 0.0965 0.3142  2 Be 1.50
O 0.0000 0.9035 0.8142  2 Be 1.50

***

Please write out number 1 again, unchanged.
Material: BePPdO
Method: DFT, GGA-PBE
State: relaxed

The density comes out at 5.27 g/cm3. The value obtained for the energy above the most stable polymorph in this dataset is 0.014 eV/f.u. Its crystal system is orthorhombic.

abc: 2.8292 6.7829 5.3282
angles: 90.00 90.00 90.00
With the nearest neighbours (Å) after each atom.
Atoms (fractional coordinates):
Be 0.0000 0.1843 0.0000  2 O 1.53
Be 0.0000 0.8157 0.5000  2 O 1.53
P 0.0000 0.4838 0.5145  1 Be 2.25, 2 Pd 2.26
P 0.0000 0.5162 0.0145  1 Be 2.25, 2 Pd 2.26
Pd 0.5000 0.2248 0.5045  1 O 2.20, 2 P 2.26
Pd 0.5000 0.7752 0.0045  1 O 2.20, 2 P 2.26
O 0.5000 0.1001 0.0040  2 Be 1.53
O 0.5000 0.8999 0.5040  2 Be 1.53